A relaxed structure of ErAgPd, computed with PBE-GGA.

abc: 4.5903 4.5903 4.5903
angles: 60.00 60.00 60.00
Positions (direct):
1 Pd 0.0000 0.0000 0.0000
2 Ag 0.2500 0.2500 0.2500
3 Er 0.7500 0.7500 0.7500

Properties
Energy relative to the lowest polymorph listed for this composition, meV per atom: 0.0

A relaxed structure of ErAgPd2, computed with PBE-GGA.

abc: 4.2775 4.2775 3.8899
angles: 90.00 90.00 90.00
Positions (direct):
1 Er 0.5000 0.5000 0.5000
2 Ag 0.0000 0.0000 0.5000
3 Pd 0.0000 0.5000 0.0000
4 Pd 0.5000 0.0000 0.0000

Properties
E_tot, eV per atom: -5.1675

Number 1: total moment 0.000 μB per cell, volume 68 Å³/cell. Number 2: total moment 0.000 μB per cell, volume 71 Å³/cell.